# Tl2VOsO6 (GGA+U, relaxed)
data_Tl2VOsO6
_chemical_formula_sum 'Tl4 V2 Os2 O12'
_cell_length_a 9.933
_cell_length_b 9.933
_cell_length_c 9.933
_cell_angle_alpha 34.08
_cell_angle_beta 34.08
_cell_angle_gamma 34.08
_space_group_name_H-M_alt 'P 1'
_space_group_IT_number 1
loop_
_space_group_symop_operation_xyz
'x,y,z'
loop_
_atom_site_label
_atom_site_type_symbol
_atom_site_fract_x
_atom_site_fract_y
_atom_site_fract_z
Tl1 Tl 0.130 0.130 0.130
Tl2 Tl 0.279 0.279 0.279
Tl3 Tl 0.721 0.721 0.721
Tl4 Tl 0.870 0.870 0.870
V1 V 0.402 0.402 0.402
V2 V 0.598 0.598 0.598
Os1 Os 0.000 0.000 0.000
Os2 Os 0.500 0.500 0.500
O1 O 0.166 0.599 0.599
O2 O 0.204 0.204 0.705
O3 O 0.204 0.705 0.204
O4 O 0.295 0.796 0.796
O5 O 0.401 0.401 0.834
O6 O 0.401 0.834 0.401
O7 O 0.599 0.166 0.599
O8 O 0.599 0.599 0.166
O9 O 0.705 0.204 0.204
O10 O 0.796 0.295 0.796
O11 O 0.796 0.796 0.295
O12 O 0.834 0.401 0.401
# - energy (eV/f.u.) = -64.13